(1)
Compound: Ho4Be
Source: Alexandria via LeMat-Bulk
Functional: PBE
Structure: optimized geometry

The space group is Pm-3m (No. 221) and the conventional cell measures 5.266, 5.266 and 5.266 Å, with angles of 90.00, 90.00 and 90.00 degrees. The inequivalent atoms are Ho at (0.000, 0.000, 0.000), Ho at (0.000, 0.500, 0.500) and Be at (0.500, 0.500, 0.500).

As for the total energy: -20.68 eV per cell.

***

(2)
Compound: Sc2C3
Source: Alexandria via LeMat-Bulk
Functional: PBE
Structure: optimized geometry

The space group is Fdd2 (No. 43) and the conventional cell measures 7.638, 11.050 and 5.124 Å, with angles of 90.00, 90.00 and 90.00 degrees. The inequivalent atoms are Sc at (0.063, 0.287, 0.000), C at (0.000, 0.000, 0.356) and C at (0.083, 0.102, 0.198).

As for the total energy: -312.88 eV per cell. The energy above the lowest structure with this stoichiometry is 2.57 eV/f.u.

***

(3)
Compound: Y2Ga5Tc
Source: Alexandria via LeMat-Bulk
Functional: PBE
Structure: optimized geometry

The space group is I4mm (No. 107) and the conventional cell measures 6.164, 6.164 and 8.536 Å, with angles of 90.00, 90.00 and 90.00 degrees. The inequivalent atoms are Y at (0.000, 0.500, 0.000), Ga at (0.000, 0.000, 0.014), Ga at (0.212, 0.212, 0.248) and Tc at (0.000, 0.000, 0.728).

As for the total energy: -82.92 eV per cell.

***

(4)
Compound: Ho3GeBr7
Source: Alexandria via LeMat-Bulk
Functional: PBE
Structure: optimized geometry

The space group is P3m1 (No. 156) and the conventional cell measures 8.3238, 8.3238 and 6.7745 Å, with angles of 90.00, 90.00 and 120.00 degrees. The inequivalent atoms are Ho at (0.0072, 0.5036, 0.0000), Ge at (0.3333, 0.6667, 0.2485), Br at (0.1758, 0.3517, 0.7623), Br at (0.3469, 0.1735, 0.2188) and Br at (0.6667, 0.3333, 0.7579).

As for the total energy: -45.87 eV per cell. Its formation energy from raw total energies is -1438 meV/atom.

***

(5)
Compound: CaNdTh2Bi4
Source: Alexandria via LeMat-Bulk
Functional: PBE
Structure: optimized geometry

The space group is P2/m (No. 10) and the conventional cell measures 7.961, 4.612 and 7.990 Å, with angles of 90.00, 109.52 and 90.00 degrees. The inequivalent atoms are Ca at (0.000, 0.000, 0.000), Nd at (0.000, 0.500, 0.500), Th at (0.500, 0.000, 0.500), Th at (0.500, 0.500, 0.000), Bi at (0.250, 0.000, 0.751) and Bi at (0.251, 0.500, 0.250).

As for the total energy: -43.24 eV per cell.

***

(6)
Compound: Rb3ThU3Se8
Source: Alexandria via LeMat-Bulk
Functional: PBE
Structure: optimized geometry

The space group is R-3m (No. 166, hexagonal axes) and the conventional cell measures 8.4552, 8.4552 and 24.5850 Å, with angles of 90.00, 90.00 and 120.00 degrees. The inequivalent atoms are Rb at (0.0000, 0.5000, 0.0000), Th at (0.0000, 0.0000, 0.5000), U at (0.0000, 0.5000, 0.5000), Se at (0.0000, 0.0000, 0.2322) and Se at (0.0033, 0.5017, 0.7676).

As for the total energy: -275.71 eV per cell. Its formation energy from raw total energies is -1323 meV/atom.